No. 1
An optimized crystal structure of La15DyIn4. Source: Alexandria, functional GGA-PBE.

Lattice parameters (Å, degrees): 5.073 5.073 25.725 90.00 90.00 90.00
Element x y z (fractional)
La1 0.000 0.000 0.000
La2 0.000 0.000 0.203
La3 0.000 0.000 0.401
La4 0.000 0.000 0.599
La5 0.000 0.000 0.797
La6 0.000 0.500 0.104
La7 0.000 0.500 0.302
La8 0.000 0.500 0.500
La9 0.000 0.500 0.698
La10 0.000 0.500 0.896
La11 0.500 0.000 0.104
La12 0.500 0.000 0.302
La13 0.500 0.000 0.500
La14 0.500 0.000 0.698
La15 0.500 0.000 0.896
Dy1 0.500 0.500 0.000
In1 0.500 0.500 0.204
In2 0.500 0.500 0.401
In3 0.500 0.500 0.599
In4 0.500 0.500 0.796

## Properties
formation enthalpy at 0 K	-0.231	eV/atom
SG	P4/mmm (123)

***

No. 2
An optimized crystal structure of AlTlAgTe2. Source: Alexandria, functional GGA-PBE.

Lattice parameters (Å, degrees): 5.562 5.562 5.508 90.00 90.00 90.00
Element x y z (fractional)
Al1 0.000 0.000 0.000
Tl1 0.500 0.500 0.000
Ag1 0.500 0.500 0.500
Te1 0.000 0.500 0.500
Te2 0.500 0.000 0.500

## Properties
energy relative to the elements, uncorrected	1.79	eV per formula unit
SG	P4/mmm (123)

***

No. 3
An optimized crystal structure of BaHgMo2. Source: Alexandria, functional GGA-PBE.

Lattice parameters (Å, degrees): 4.748 4.748 7.227 101.77 101.77 41.91
Element x y z (fractional)
Ba1 0.000 0.000 0.000
Hg1 0.771 0.771 0.336
Mo1 0.214 0.214 0.653
Mo2 0.521 0.521 0.552

## Properties
formation enthalpy at 0 K	0.658	eV/atom
SG	Cm (8)

***

No. 4
An optimized crystal structure of PuNpIn2. Source: Alexandria, functional GGA-PBE.

Lattice parameters (Å, degrees): 4.424 4.424 5.038 90.00 90.00 90.00
Element x y z (fractional)
Pu1 0.000 0.000 0.000
Np1 0.500 0.500 0.000
In1 0.000 0.500 0.500
In2 0.500 0.000 0.500

## Properties
formation enthalpy at 0 K	-0.001	eV/atom
SG	P4/mmm (123)

***

No. 5
An optimized crystal structure of HgHRu3. Source: Alexandria, functional GGA-PBE.

Lattice parameters (Å, degrees): 4.014 4.014 4.014 90.00 90.00 90.00
Element x y z (fractional)
Hg1 0.000 0.000 0.000
H1 0.500 0.500 0.500
Ru1 0.000 0.500 0.500
Ru2 0.500 0.000 0.500
Ru3 0.500 0.500 0.000

## Properties
ΔE to the lowest computed polymorph	0	meV/atom
SG	Pm-3m (221)

***

No. 6
An optimized crystal structure of ZrCuAs2. Source: Alexandria, functional GGA-PBE.

Lattice parameters (Å, degrees): 4.659 4.659 4.659 60.00 60.00 60.00
Element x y z (fractional)
Zr1 0.000 0.000 0.000
Cu1 0.500 0.500 0.500
As1 0.250 0.250 0.250
As2 0.750 0.750 0.750

## Properties
formation enthalpy at 0 K	-0.203	eV/atom
SG	Fm-3m (225)

***

No. 7
An optimized crystal structure of PrSmSnRh. Source: Alexandria, functional GGA-PBE.

Lattice parameters (Å, degrees): 5.263 5.263 5.263 60.00 60.00 60.00
Element x y z (fractional)
Pr1 0.000 0.000 0.000
Sm1 0.500 0.500 0.500
Sn1 0.250 0.250 0.250
Rh1 0.750 0.750 0.750

## Properties
formation enthalpy at 0 K	-0.553	eV/atom
ΔE to the lowest computed polymorph	134	meV/atom
SG	F-43m (216)

***

No. 8
An optimized crystal structure of Tl2HgBiSb. Source: Alexandria, functional GGA-PBE.

Lattice parameters (Å, degrees): 8.530 8.530 9.951 90.00 90.00 151.15
Element x y z (fractional)
Tl1 0.148 0.852 0.555
Tl2 0.148 0.852 0.945
Tl3 0.852 0.148 0.055
Tl4 0.852 0.148 0.445
Hg1 0.500 0.500 0.000
Hg2 0.500 0.500 0.500
Bi1 0.394 0.606 0.750
Bi2 0.606 0.394 0.250
Sb1 0.238 0.762 0.250
Sb2 0.762 0.238 0.750

## Properties
energy relative to the elements, uncorrected	0.19	eV per formula unit
SG	Cmcm (63)

***

No. 9
An optimized crystal structure of TiReMoP2. Source: Alexandria, functional GGA-PBE.

Lattice parameters (Å, degrees): 4.532 4.532 4.865 90.00 90.00 90.00
Element x y z (fractional)
Ti1 0.000 0.000 0.000
Re1 0.500 0.500 0.000
Mo1 0.500 0.500 0.500
P1 0.000 0.500 0.500
P2 0.500 0.000 0.500

## Properties
formation enthalpy at 0 K	1.113	eV/atom
SG	P4/mmm (123)